No. 1
A plane-wave DFT calculation with PBE with a Hubbard U was carried out for crystalline FeCF2 at its relaxed geometry.

- Crystal system: cubic
- Total magnetization: 2.00 μB per formula unit
- Excess energy over the best structure of this formula in the dataset: 582 meV per atom

Cell lengths 3.870, 3.870, 3.870 Å; angles 60.00, 60.00, 60.00 degrees
Fractional coordinates of all 4 atoms:
C: 0.000 0.000 0.000
F: 0.250 0.250 0.250
F: 0.750 0.750 0.750
Fe: 0.500 0.500 0.500

No. 2
A plane-wave DFT calculation with PBE with a Hubbard U was carried out for crystalline Fe3CF at its relaxed geometry.

- Crystal system: cubic
- Total magnetization: 11.00 μB per formula unit
- Excess energy over the best structure of this formula in the dataset: 0 meV per atom

Cell lengths 4.060, 4.060, 4.060 Å; angles 90.00, 90.00, 90.00 degrees
Fractional coordinates of all 5 atoms:
F: 0.500 0.500 0.500
Fe: 0.500 0.000 0.000
Fe: 0.000 0.000 0.500
Fe: 0.000 0.500 0.000
C: 0.000 0.000 0.000

No. 3
A plane-wave DFT calculation with PBE with a Hubbard U was carried out for crystalline FeCF2 at its relaxed geometry.

- Crystal system: tetragonal
- Total magnetization: 2.00 μB per formula unit
- Excess energy over the best structure of this formula in the dataset: 0 meV per atom

Cell lengths 7.556, 7.556, 5.686 Å; angles 48.36, 48.36, 90.00 degrees
Fractional coordinates of all 8 atoms:
F: 0.875 0.054 0.750
F: 0.375 0.196 0.750
F: 0.946 0.625 0.250
F: 0.804 0.125 0.250
C: 0.500 0.500 0.000
C: 0.250 0.750 0.500
Fe: 0.000 0.000 0.000
Fe: 0.750 0.250 0.500

No. 4
A plane-wave DFT calculation with PBE with a Hubbard U was carried out for crystalline FeH12C2N2F5 at its relaxed geometry.

- Crystal system: orthorhombic
- Total magnetization: 5.00 μB per formula unit
- Total energy: -448.795 eV per cell

Cell lengths 7.974, 9.964, 10.074 Å; angles 90.00, 90.00, 90.00 degrees
Fractional coordinates of all 88 atoms:
H: 0.750 0.022 0.344
H: 0.638 0.419 0.831
H: 0.362 0.081 0.331
H: 0.250 0.188 0.780
H: 0.362 0.581 0.169
H: 0.250 0.736 0.328
H: 0.356 0.305 0.693
H: 0.144 0.805 0.807
H: 0.856 0.695 0.307
H: 0.638 0.919 0.669
H: 0.362 0.348 0.933
H: 0.250 0.478 0.844
H: 0.857 0.178 0.790
H: 0.862 0.919 0.669
H: 0.357 0.322 0.290
H: 0.143 0.322 0.290
H: 0.138 0.348 0.933
H: 0.644 0.695 0.307
H: 0.750 0.764 0.828
H: 0.356 0.805 0.807
H: 0.144 0.305 0.693
H: 0.643 0.178 0.790
H: 0.644 0.195 0.193
H: 0.250 0.688 0.720
H: 0.857 0.678 0.710
H: 0.143 0.822 0.210
H: 0.750 0.330 0.959
H: 0.250 0.236 0.172
H: 0.643 0.678 0.710
H: 0.750 0.312 0.280
H: 0.250 0.978 0.656
H: 0.138 0.581 0.169
H: 0.250 0.670 0.041
H: 0.750 0.264 0.672
H: 0.862 0.419 0.831
H: 0.138 0.848 0.567
H: 0.750 0.830 0.541
H: 0.862 0.652 0.067
H: 0.638 0.652 0.067
H: 0.138 0.081 0.331
H: 0.750 0.812 0.220
H: 0.362 0.848 0.567
H: 0.638 0.152 0.433
H: 0.357 0.822 0.210
H: 0.856 0.195 0.193
H: 0.862 0.152 0.433
H: 0.750 0.522 0.156
H: 0.250 0.170 0.459
N: 0.750 0.712 0.248
N: 0.750 0.236 0.771
N: 0.250 0.788 0.748
N: 0.250 0.764 0.229
N: 0.250 0.264 0.271
N: 0.750 0.736 0.729
N: 0.750 0.212 0.252
N: 0.250 0.288 0.752
F: 0.022 0.580 0.676
F: 0.522 0.920 0.176
F: 0.491 0.677 0.419
F: 0.478 0.580 0.676
F: 0.991 0.823 0.919
F: 0.250 0.982 0.015
F: 0.978 0.420 0.324
F: 0.022 0.080 0.824
F: 0.750 0.518 0.515
F: 0.750 0.018 0.985
F: 0.478 0.080 0.824
F: 0.991 0.323 0.581
F: 0.009 0.677 0.419
F: 0.978 0.920 0.176
F: 0.250 0.482 0.485
F: 0.522 0.420 0.324
F: 0.509 0.323 0.581
F: 0.009 0.177 0.081
F: 0.491 0.177 0.081
F: 0.509 0.823 0.919
Fe: 0.500 0.500 0.500
Fe: 0.500 0.000 0.000
Fe: 0.000 0.000 0.000
Fe: 0.000 0.500 0.500
C: 0.750 0.128 0.374
C: 0.250 0.641 0.146
C: 0.750 0.359 0.854
C: 0.250 0.872 0.626
C: 0.250 0.372 0.874
C: 0.750 0.628 0.126
C: 0.750 0.859 0.646
C: 0.250 0.141 0.354

No. 5
A plane-wave DFT calculation with PBE with a Hubbard U was carried out for crystalline FeH14C4NOF4 at its relaxed geometry.

- Crystal system: triclinic
- Total magnetization: 5.00 μB per formula unit
- Total energy: -259.968 eV per cell

Cell lengths 7.018, 8.286, 9.257 Å; angles 114.31, 83.42, 107.73 degrees
Fractional coordinates of all 50 atoms:
C: 0.250 0.905 0.364
C: 0.760 0.381 0.870
C: 0.973 0.626 0.328
C: 0.310 0.643 0.393
C: 0.027 0.374 0.672
C: 0.690 0.357 0.607
C: 0.240 0.619 0.130
C: 0.750 0.095 0.636
F: 0.026 0.862 0.019
F: 0.287 0.141 0.759
F: 0.967 0.817 0.719
F: 0.713 0.859 0.241
F: 0.033 0.183 0.281
F: 0.974 0.138 0.981
F: 0.359 0.850 0.810
F: 0.641 0.150 0.190
N: 0.193 0.698 0.304
N: 0.807 0.302 0.696
H: 0.932 0.475 0.280
H: 0.531 0.307 0.631
H: 0.763 0.808 0.831
H: 0.842 0.057 0.698
H: 0.808 0.532 0.913
H: 0.192 0.468 0.087
H: 0.469 0.693 0.369
H: 0.456 0.164 0.118
H: 0.158 0.943 0.302
H: 0.890 0.673 0.266
H: 0.945 0.683 0.455
H: 0.224 0.961 0.492
H: 0.598 0.331 0.883
H: 0.591 0.047 0.662
H: 0.739 0.507 0.649
H: 0.068 0.525 0.720
H: 0.055 0.317 0.545
H: 0.160 0.667 0.068
H: 0.544 0.836 0.882
H: 0.776 0.039 0.508
H: 0.402 0.669 0.117
H: 0.261 0.493 0.351
H: 0.237 0.192 0.169
H: 0.840 0.333 0.932
H: 0.280 0.707 0.520
H: 0.720 0.293 0.480
H: 0.409 0.953 0.338
H: 0.110 0.327 0.734
Fe: 0.825 0.005 0.125
Fe: 0.175 0.995 0.875
O: 0.661 0.815 0.916
O: 0.339 0.185 0.084

No. 6
A plane-wave DFT calculation with PBE with a Hubbard U was carried out for crystalline FeH12C2S2O12F6 at its relaxed geometry.

- Crystal system: monoclinic
- Total magnetization: 4.00 μB per formula unit
- Total energy: -187.303 eV per cell

Cell lengths 10.085, 10.085, 6.594 Å; angles 77.68, 77.68, 40.90 degrees
Fractional coordinates of all 35 atoms:
O: 0.423 0.773 0.430
O: 0.577 0.227 0.570
O: 0.773 0.423 0.430
O: 0.141 0.711 0.149
O: 0.049 0.049 0.261
O: 0.711 0.141 0.149
O: 0.227 0.577 0.570
O: 0.859 0.289 0.851
O: 0.289 0.859 0.851
O: 0.384 0.384 0.900
O: 0.951 0.951 0.739
O: 0.616 0.616 0.100
H: 0.180 0.955 0.319
H: 0.658 0.177 0.293
H: 0.403 0.782 0.934
H: 0.823 0.342 0.707
H: 0.045 0.820 0.681
H: 0.342 0.823 0.707
H: 0.820 0.045 0.681
H: 0.218 0.597 0.066
H: 0.955 0.180 0.319
H: 0.177 0.658 0.293
H: 0.782 0.403 0.934
H: 0.597 0.218 0.066
S: 0.377 0.377 0.684
S: 0.623 0.623 0.316
F: 0.910 0.598 0.195
F: 0.737 0.737 0.491
F: 0.402 0.090 0.805
F: 0.263 0.263 0.509
F: 0.090 0.402 0.805
F: 0.598 0.910 0.195
Fe: 0.000 0.000 0.000
C: 0.276 0.276 0.703
C: 0.724 0.724 0.297

No. 7
A plane-wave DFT calculation with PBE with a Hubbard U was carried out for crystalline FeCI2F at its relaxed geometry.

- Crystal system: tetragonal
- Total magnetization: 5.01 μB per formula unit
- Total energy: -14.196 eV per cell

Cell lengths 6.031, 3.792, 6.031 Å; angles 90.00, 90.00, 90.00 degrees
Fractional coordinates of all 5 atoms:
I: 0.000 0.000 0.500
I: 0.500 0.000 0.000
Fe: 0.000 0.500 0.000
C: 0.500 0.500 0.500
F: 0.000 0.000 0.000

No. 8
A plane-wave DFT calculation with PBE with a Hubbard U was carried out for crystalline MnFe2CF at its relaxed geometry.

- Crystal system: tetragonal
- Total magnetization: 10.78 μB per formula unit
- Total energy: -24.572 eV per cell

Cell lengths 3.958, 4.825, 3.958 Å; angles 90.00, 90.00, 90.00 degrees
Fractional coordinates of all 5 atoms:
Fe: 0.000 0.000 0.500
Fe: 0.500 0.000 0.000
Mn: 0.500 0.500 0.500
C: 0.000 0.500 0.000
F: 0.000 0.000 0.000

No. 9
A plane-wave DFT calculation with PBE with a Hubbard U was carried out for crystalline FeCN2F at its relaxed geometry.

- Crystal system: tetragonal
- Total magnetization: 3.98 μB per formula unit
- Excess energy over the best structure of this formula in the dataset: 0 meV per atom

Cell lengths 3.097, 3.097, 4.801 Å; angles 90.00, 90.00, 90.00 degrees
Fractional coordinates of all 5 atoms:
N: 0.500 0.000 0.000
N: 0.000 0.500 0.000
F: 0.000 0.000 0.500
Fe: 0.500 0.500 0.500
C: 0.000 0.000 0.000

No. 10
A plane-wave DFT calculation with PBE with a Hubbard U was carried out for crystalline FeCNF2 at its relaxed geometry.

- Crystal system: tetragonal
- Total magnetization: 4.32 μB per formula unit
- Excess energy over the best structure of this formula in the dataset: 0 meV per atom

Cell lengths 4.569, 4.569, 2.499 Å; angles 90.00, 90.00, 90.00 degrees
Fractional coordinates of all 5 atoms:
C: 0.000 0.000 0.000
N: 0.000 0.000 0.500
Fe: 0.500 0.500 0.500
F: 0.500 0.000 0.000
F: 0.000 0.500 0.000

No. 11
A plane-wave DFT calculation with PBE with a Hubbard U was carried out for crystalline FeCN2F at its relaxed geometry.

- Crystal system: tetragonal
- Total magnetization: 3.05 μB per formula unit
- Excess energy over the best structure of this formula in the dataset: 734 meV per atom

Cell lengths 3.883, 3.883, 3.826 Å; angles 90.00, 90.00, 90.00 degrees
Fractional coordinates of all 5 atoms:
Fe: 0.000 0.000 0.000
C: 0.500 0.500 0.500
N: 0.500 0.000 0.000
N: 0.000 0.500 0.000
F: 0.000 0.000 0.500

No. 12
A plane-wave DFT calculation with PBE with a Hubbard U was carried out for crystalline FeCNF2 at its relaxed geometry.

- Crystal system: tetragonal
- Total magnetization: 5.00 μB per formula unit
- Excess energy over the best structure of this formula in the dataset: 961 meV per atom

Cell lengths 3.866, 3.866, 4.078 Å; angles 90.00, 90.00, 90.00 degrees
Fractional coordinates of all 5 atoms:
N: 0.000 0.000 0.500
Fe: 0.000 0.000 0.000
F: 0.000 0.500 0.000
F: 0.500 0.000 0.000
C: 0.500 0.500 0.500